Crystalline Sm4GaSb2 at its relaxed geometry, computed with PBE. Values from VASP.

Structure (Quantum ESPRESSO input):
```
&SYSTEM
  ibrav = 0, nat = 14, ntyp = 3
/
ATOMIC_SPECIES
Sm 150.36 Sm.upf
Ga 69.72 Ga.upf
Sb 121.76 Sb.upf
ATOMIC_POSITIONS crystal
Sm 0.188 0.243 0.554
Sm 0.188 0.634 0.946
Sm 0.243 0.188 0.054
Sm 0.366 0.812 0.554
Sm 0.634 0.188 0.446
Sm 0.757 0.812 0.946
Sm 0.812 0.366 0.054
Sm 0.812 0.757 0.446
Ga 0.125 0.875 0.250
Ga 0.875 0.125 0.750
Sb 0.000 0.500 0.500
Sb 0.500 0.000 0.000
Sb 0.500 0.500 0.000
Sb 0.500 0.500 0.500
CELL_PARAMETERS angstrom
-4.846 4.850 4.845
4.846 -4.850 4.845
4.846 4.850 -4.845
```

Formation energy (no corrections), eV per atom: -0.680
Space-group type: Imma (74)